Entry 1:
## BeCrNi4 (PBE)

Data for a relaxed structure of BeCrNi4.

Results
Symmetry: P4/mmm (123)
Energy of formation from the pure elements: -146 meV/atom
Energy above the most stable polymorph in this dataset: 0 meV/atom

Unit cell a=2.4820 b=2.4820 c=10.0066 alpha=90.00 beta=90.00 gamma=90.00
With the nearest neighbours (Å) after each atom.
Atoms (fractional coordinates):
Be 0.0000 0.0000 0.0000  8 Ni 2.25, 4 Be 2.48
Cr 0.5000 0.5000 0.5000  4 Cr 2.48, 8 Ni 2.50
Ni 0.0000 0.0000 0.3216  8 Ni 2.48-2.52, 4 Cr 2.50
Ni 0.0000 0.0000 0.6784  8 Ni 2.48-2.52, 4 Cr 2.50
Ni 0.5000 0.5000 0.1409  4 Be 2.25, 8 Ni 2.48-2.52
Ni 0.5000 0.5000 0.8591  4 Be 2.25, 8 Ni 2.48-2.52

***

Entry 2:
## BeCr2Ni (PBE)

Data for a relaxed structure of BeCr2Ni.

Results
Symmetry: Cmm2 (35)
Energy of formation from the pure elements: -31 meV/atom

Unit cell a=2.4250 b=2.4250 c=7.2106 alpha=90.00 beta=90.00 gamma=99.89
With the nearest neighbours (Å) after each atom.
Atoms (fractional coordinates):
Be 0.0000 0.0000 0.0000  4 Ni 2.18-2.40, 2 Cr 2.34, 4 Be 2.43
Cr 0.0000 0.0000 0.5266  6 Cr 2.43-2.58, 4 Ni 2.45-2.65
Cr 0.5000 0.5000 0.2424  4 Be 2.34-2.55, 6 Cr 2.43-2.58
Ni 0.5000 0.5000 0.7893  4 Be 2.18-2.40, 4 Ni 2.43

***

Entry 3:
## BeCr2Ni (PBE)

Data for a relaxed structure of BeCr2Ni.

Results
Symmetry: P4/mmm (123)
Energy of formation from the pure elements: 233 meV/atom

Unit cell a=2.8050 b=2.8050 c=5.5880 alpha=90.00 beta=90.00 gamma=90.00
With the nearest neighbours (Å) after each atom.
Atoms (fractional coordinates):
Be 0.0000 0.0000 0.0000  8 Cr 2.38
Cr 0.5000 0.5000 0.2347  4 Be 2.38, 4 Ni 2.48, 1 Cr 2.62
Cr 0.5000 0.5000 0.7653  4 Be 2.38, 4 Ni 2.48, 1 Cr 2.62
Ni 0.0000 0.0000 0.5000  8 Cr 2.48

***

Entry 4:
## BeCrNi6 (PBE)

Data for a relaxed structure of BeCrNi6.

Results
Symmetry: Cmmm (65)
Energy of formation from the pure elements: -98 meV/atom
Energy above the most stable polymorph in this dataset: 0 meV/atom

Unit cell a=6.0350 b=6.0350 c=9.8614 alpha=90.00 beta=90.00 gamma=109.66
With the nearest neighbours (Å) after each atom.
Atoms (fractional coordinates):
Be 0.0000 0.0000 0.2448  12 Ni 2.41-2.52
Be 0.0000 0.0000 0.7552  12 Ni 2.41-2.52
Be 0.2567 0.7433 0.0000  12 Ni 2.40-2.53
Be 0.7433 0.2567 0.0000  12 Ni 2.40-2.53
Cr 0.2531 0.7469 0.5000  12 Ni 2.44-2.50
Cr 0.5000 0.5000 0.2443  12 Ni 2.41-2.52
Cr 0.5000 0.5000 0.7557  12 Ni 2.41-2.52
Cr 0.7469 0.2531 0.5000  12 Ni 2.44-2.50
Ni 0.0000 0.0000 0.0000  4 Be 2.41-2.53, 8 Ni 2.44
Ni 0.0000 0.0000 0.5000  8 Ni 2.45, 2 Cr 2.50, 2 Be 2.52
Ni 0.1219 0.3723 0.1235  3 Be 2.43-2.47, 8 Ni 2.44-2.47, 1 Cr 2.46
Ni 0.1219 0.3723 0.8765  3 Be 2.43-2.47, 8 Ni 2.44-2.47, 1 Cr 2.46
Ni 0.1232 0.3712 0.3727  8 Ni 2.45-2.51, 1 Be 2.46, 3 Cr 2.48-2.49
Ni 0.1232 0.3712 0.6273  8 Ni 2.45-2.51, 1 Be 2.46, 3 Cr 2.48-2.49
Ni 0.2505 0.7495 0.2476  2 Be 2.44-2.47, 8 Ni 2.44-2.48, 2 Cr 2.46-2.49
Ni 0.2505 0.7495 0.7524  2 Be 2.44-2.47, 8 Ni 2.44-2.48, 2 Cr 2.46-2.49
Ni 0.3712 0.1232 0.3727  8 Ni 2.45-2.51, 1 Be 2.46, 3 Cr 2.48-2.49
Ni 0.3712 0.1232 0.6273  8 Ni 2.45-2.51, 1 Be 2.46, 3 Cr 2.48-2.49
Ni 0.3723 0.1219 0.1235  3 Be 2.43-2.47, 8 Ni 2.44-2.47, 1 Cr 2.46
Ni 0.3723 0.1219 0.8765  3 Be 2.43-2.47, 8 Ni 2.44-2.47, 1 Cr 2.46
Ni 0.5000 0.5000 0.0000  2 Be 2.40, 2 Cr 2.41, 8 Ni 2.47
Ni 0.5000 0.5000 0.5000  4 Cr 2.44-2.52, 8 Ni 2.48
Ni 0.6277 0.8781 0.1235  3 Be 2.43-2.47, 8 Ni 2.44-2.47, 1 Cr 2.46
Ni 0.6277 0.8781 0.8765  3 Be 2.43-2.47, 8 Ni 2.44-2.47, 1 Cr 2.46
Ni 0.6288 0.8768 0.3727  8 Ni 2.45-2.51, 1 Be 2.46, 3 Cr 2.48-2.49
Ni 0.6288 0.8768 0.6273  8 Ni 2.45-2.51, 1 Be 2.46, 3 Cr 2.48-2.49
Ni 0.7495 0.2505 0.2476  2 Be 2.44-2.47, 8 Ni 2.44-2.48, 2 Cr 2.46-2.49
Ni 0.7495 0.2505 0.7524  2 Be 2.44-2.47, 8 Ni 2.44-2.48, 2 Cr 2.46-2.49
Ni 0.8768 0.6288 0.3727  8 Ni 2.45-2.51, 1 Be 2.46, 3 Cr 2.48-2.49
Ni 0.8768 0.6288 0.6273  8 Ni 2.45-2.51, 1 Be 2.46, 3 Cr 2.48-2.49
Ni 0.8781 0.6277 0.1235  3 Be 2.43-2.47, 8 Ni 2.44-2.47, 1 Cr 2.46
Ni 0.8781 0.6277 0.8765  3 Be 2.43-2.47, 8 Ni 2.44-2.47, 1 Cr 2.46

***

Number 1: energy -37.35 eV/cell. Number 2: energy -28.88 eV/cell. Number 3: energy -27.82 eV/cell. Number 4: energy -195.30 eV/cell.